The following is a GGA-PBE calculation of an optimized crystal structure of PmGaB4, from OQMD via LeMat-Bulk.

Unit cell a=5.1717 b=5.1717 c=5.1717 alpha=143.69 beta=119.26 gamma=72.86
Fractional positions:
1 Pm 0.0000 0.0000 0.0000
2 Ga 0.5000 0.5000 0.0000
3 B 0.0644 0.7396 0.3247
4 B 0.4149 0.7396 0.6753
5 B 0.5851 0.2604 0.3247
6 B 0.9356 0.2604 0.6753

## Properties
Its space group is No. 71.


The following is a GGA-PBE calculation of an optimized crystal structure of Li2Zn2O5, from OQMD via LeMat-Bulk.

Unit cell a=3.8541 b=3.8541 c=6.6916 alpha=90.00 beta=90.00 gamma=90.00
Fractional positions:
1 Li 0.0000 0.0000 0.0000
2 Li 0.0000 0.0000 0.5000
3 Zn 0.5000 0.5000 0.2206
4 Zn 0.5000 0.5000 0.7794
5 O 0.0000 0.5000 0.1144
6 O 0.0000 0.5000 0.8856
7 O 0.5000 0.0000 0.1144
8 O 0.5000 0.0000 0.8856
9 O 0.5000 0.5000 0.5000

## Properties
Its space group is No. 123.


The following is a GGA-PBE calculation of an optimized crystal structure of PuPtAu, from OQMD via LeMat-Bulk.

Unit cell a=4.6698 b=4.6698 c=4.6698 alpha=60.00 beta=60.00 gamma=60.00
Fractional positions:
1 Pu 0.0000 0.0000 0.0000
2 Pt 0.2500 0.2500 0.2500
3 Au 0.7500 0.7500 0.7500

## Properties
Its space group is No. 216. As for the formation energy: -0.26 eV per atom.


The following is a GGA-PBE calculation of an optimized crystal structure of TaZnNO, from OQMD via LeMat-Bulk.

Unit cell a=3.1667 b=3.1667 c=8.6746 alpha=90.00 beta=90.00 gamma=90.00
Fractional positions:
1 Ta 0.2500 0.2500 0.1618
2 Ta 0.7500 0.7500 0.8382
3 Zn 0.2500 0.7500 0.5000
4 Zn 0.7500 0.2500 0.5000
5 N 0.2500 0.2500 0.7587
6 N 0.7500 0.7500 0.2413
7 O 0.2500 0.7500 0.0000
8 O 0.7500 0.2500 0.0000

## Properties
Its space group is No. 129.


The following is a GGA-PBE calculation of an optimized crystal structure of LuMgNiSb, from OQMD via LeMat-Bulk.

Unit cell a=4.7988 b=4.7988 c=4.7988 alpha=60.00 beta=60.00 gamma=60.00
Fractional positions:
1 Lu 0.0000 0.0000 0.0000
2 Mg 0.2500 0.2500 0.2500
3 Ni 0.7500 0.7500 0.7500
4 Sb 0.5000 0.5000 0.5000

## Properties
Its space group is No. 216.


The following is a GGA-PBE calculation of an optimized crystal structure of HfNiIr, from OQMD via LeMat-Bulk.

Unit cell a=4.1546 b=4.1546 c=4.1546 alpha=60.00 beta=60.00 gamma=60.00
Fractional positions:
1 Hf 0.0000 0.0000 0.0000
2 Ni 0.2500 0.2500 0.2500
3 Ir 0.5000 0.5000 0.5000

## Properties
Its space group is No. 216. As for the formation energy: -0.32 eV per atom.


How do the records compare in calculated total energy? In the order shown, they have -5.836; -4.384; -8.075; -7.292; -4.092; -8.451 eV/atom.
How do the records compare in theoretical density? In the order shown, they have 6.11; 3.75; 14.67; 10.55; 8.07; 14.06 Mg/m³.